Entry 1:
# Ac4PdRhI2

Ac4PdRhI2 after structural relaxation (PBE, Alexandria via LeMat-Bulk).

The structure in POSCAR format:
```
Ac4PdRhI2
1.0
4.418 0.000 0.000
0.000 7.689 0.130
0.000 -2.713 8.629
Ac Pd Rh I
4 1 1 2
Direct
0.500 0.236 0.186
0.500 0.764 0.814
0.000 0.279 0.814
0.000 0.721 0.186
0.000 0.000 0.000
0.500 0.500 0.000
0.500 0.000 0.500
0.000 0.500 0.500
```

**E_form (uncorrected)**: -1.011 eV/atom



Entry 2:
# Y2HfO5

Y2HfO5 after structural relaxation (PBE, Alexandria via LeMat-Bulk).

The structure in POSCAR format:
```
Y2HfO5
1.0
-2.363 -1.050 2.715
-6.697 -3.951 -7.359
5.329 -10.273 0.665
Y Hf O
8 4 20
Direct
0.250 0.126 0.226
0.250 0.130 0.560
0.750 0.370 0.060
0.750 0.374 0.726
0.250 0.626 0.274
0.250 0.630 0.940
0.750 0.870 0.440
0.750 0.874 0.774
0.250 0.164 0.889
0.750 0.336 0.389
0.250 0.664 0.611
0.750 0.836 0.111
0.750 0.001 0.605
0.250 0.988 0.849
0.250 0.233 0.053
0.750 0.238 0.891
0.750 0.255 0.232
0.250 0.245 0.732
0.250 0.262 0.391
0.750 0.267 0.553
0.750 0.512 0.349
0.250 0.499 0.105
0.750 0.501 0.895
0.250 0.488 0.651
0.250 0.733 0.447
0.750 0.738 0.609
0.750 0.755 0.268
0.250 0.745 0.768
0.250 0.762 0.109
0.750 0.767 0.947
0.750 0.012 0.151
0.250 0.999 0.395
```

**Offset from the most stable computed form**: 0.035 eV/atom
**E_form (uncorrected)**: -3.518 eV/atom



Entry 3:
# Nb2ReSn

Nb2ReSn after structural relaxation (PBE, Alexandria via LeMat-Bulk).

The structure in POSCAR format:
```
Nb2ReSn
1.0
-0.804 -0.896 2.904
2.225 -0.491 2.166
-0.057 7.998 4.152
Re Nb Sn
1 2 1
Direct
0.500 0.500 0.500
0.242 0.242 0.275
0.758 0.758 0.725
0.000 0.000 0.000
```

**Energy of formation from the pure elements**: 0.16 eV/atom



no.,DOS(E_F) (states/eV/atom),total energy (eV/atom)
1,0.53,-5.020
2,0.00,-9.477
3,0.87,-8.988